No. 1
The following is a DFT calculation (PBE-GGA) of a relaxed structure of HoLuCS.

VASP energy	-6.91	eV per atom
space-group type	P-6m2 (187)

Unit cell a=3.6458 b=3.6458 c=12.6877 alpha=90.00 beta=90.00 gamma=120.00
With the nearest neighbours (Å) after each atom.
Fractional coordinates of all 8 atoms:
Ho: 0.0000 0.0000 0.1487  3 C 2.50
Ho: 0.0000 0.0000 0.8513  3 C 2.50
Lu: 0.3333 0.6667 0.3555  3 C 2.47
Lu: 0.3333 0.6667 0.6445  3 C 2.47
C: 0.6667 0.3333 0.2544  3 Lu 2.47, 3 Ho 2.50
C: 0.6667 0.3333 0.7456  3 Lu 2.47, 3 Ho 2.50
S: 0.0000 0.0000 0.5000  6 Lu 2.79
S: 0.3333 0.6667 0.0000  6 Ho 2.83

No. 2
The following is a DFT calculation (PBE-GGA) of a relaxed structure of HoLuCS.

VASP energy	-6.91	eV per atom
space-group type	P6_3mc (186)

Unit cell a=3.6463 b=3.6463 c=12.6866 alpha=90.00 beta=90.00 gamma=120.00
With the nearest neighbours (Å) after each atom.
Fractional coordinates of all 8 atoms:
Ho: 0.3333 0.6667 0.0000  3 C 2.49
Ho: 0.6667 0.3333 0.5000  3 C 2.49
Lu: 0.3333 0.6667 0.7068  3 C 2.47
Lu: 0.6667 0.3333 0.2068  3 C 2.47
C: 0.0000 0.0000 0.1047  3 Lu 2.47, 3 Ho 2.49
C: 0.0000 0.0000 0.6047  3 Lu 2.47, 3 Ho 2.49
S: 0.3333 0.6667 0.3505  3 Lu 2.78, 3 Ho 2.83
S: 0.6667 0.3333 0.8505  3 Lu 2.78, 3 Ho 2.83

No. 3
The following is a DFT calculation (PBE-GGA) of a relaxed structure of HoLuCS.

VASP energy	-6.91	eV per atom
space-group type	P-3m1 (164)

Unit cell a=3.6458 b=3.6458 c=12.6903 alpha=90.00 beta=90.00 gamma=120.00
With the nearest neighbours (Å) after each atom.
Fractional coordinates of all 8 atoms:
Ho: 0.3333 0.6667 0.3942  3 C 2.50
Ho: 0.6667 0.3333 0.6058  3 C 2.50
Lu: 0.3333 0.6667 0.1011  3 C 2.46
Lu: 0.6667 0.3333 0.8989  3 C 2.46
C: 0.0000 0.0000 0.0000  6 Lu 2.46
C: 0.0000 0.0000 0.5000  6 Ho 2.50
S: 0.3333 0.6667 0.7550  3 Lu 2.79, 3 Ho 2.83
S: 0.6667 0.3333 0.2450  3 Lu 2.79, 3 Ho 2.83

No. 4
The following is a DFT calculation (PBE-GGA) of a relaxed structure of Ho3LuC2S2.

VASP energy	-6.91	eV per atom
space-group type	P3m1 (156)

Unit cell a=3.6654 b=3.6654 c=12.7564 alpha=90.00 beta=90.00 gamma=120.00
With the nearest neighbours (Å) after each atom.
Fractional coordinates of all 8 atoms:
Ho: 0.0000 0.0000 0.0000  3 C 2.51
Ho: 0.0000 0.0000 0.2945  3 C 2.50
Ho: 0.3333 0.6667 0.7903  3 C 2.50
Lu: 0.3333 0.6667 0.4996  3 C 2.48
C: 0.6667 0.3333 0.3987  3 Lu 2.48, 3 Ho 2.50
C: 0.6667 0.3333 0.8946  6 Ho 2.50-2.51
S: 0.0000 0.0000 0.6417  3 Lu 2.79, 3 Ho 2.84
S: 0.3333 0.6667 0.1467  6 Ho 2.82-2.83

No. 5
The following is a DFT calculation (PBE-GGA) of a relaxed structure of HoLuCSe.

VASP energy	-6.63	eV per atom
space-group type	P-3m1 (164)

Unit cell a=3.7029 b=3.7029 c=13.0721 alpha=90.00 beta=90.00 gamma=120.00
With the nearest neighbours (Å) after each atom.
Fractional coordinates of all 8 atoms:
Ho: 0.3333 0.6667 0.1016  3 C 2.52
Ho: 0.6667 0.3333 0.8984  3 C 2.52
Lu: 0.3333 0.6667 0.4028  3 C 2.49
Lu: 0.6667 0.3333 0.5972  3 C 2.49
C: 0.0000 0.0000 0.0000  6 Ho 2.52
C: 0.0000 0.0000 0.5000  6 Lu 2.49
Se: 0.3333 0.6667 0.7455  3 Lu 2.89, 3 Ho 2.93
Se: 0.6667 0.3333 0.2545  3 Lu 2.89, 3 Ho 2.93

No. 6
The following is a DFT calculation (PBE-GGA) of a relaxed structure of HoLuCSe.

VASP energy	-6.63	eV per atom
space-group type	P-6m2 (187)

Unit cell a=3.7027 b=3.7027 c=13.0664 alpha=90.00 beta=90.00 gamma=120.00
With the nearest neighbours (Å) after each atom.
Fractional coordinates of all 8 atoms:
Ho: 0.0000 0.0000 0.1527  3 C 2.52
Ho: 0.0000 0.0000 0.8473  3 C 2.52
Lu: 0.6667 0.3333 0.3515  3 C 2.49
Lu: 0.6667 0.3333 0.6485  3 C 2.49
C: 0.3333 0.6667 0.2543  3 Lu 2.49, 3 Ho 2.52
C: 0.3333 0.6667 0.7457  3 Lu 2.49, 3 Ho 2.52
Se: 0.0000 0.0000 0.5000  6 Lu 2.89
Se: 0.6667 0.3333 0.0000  6 Ho 2.92

No. 7
The following is a DFT calculation (PBE-GGA) of a relaxed structure of HoLuCSe.

VASP energy	-6.63	eV per atom
space-group type	P6_3mc (186)

Unit cell a=3.7028 b=3.7028 c=13.0662 alpha=90.00 beta=90.00 gamma=120.00
With the nearest neighbours (Å) after each atom.
Fractional coordinates of all 8 atoms:
Ho: 0.3333 0.6667 0.0000  3 C 2.51
Ho: 0.6667 0.3333 0.5000  3 C 2.51
Lu: 0.3333 0.6667 0.6987  3 C 2.49
Lu: 0.6667 0.3333 0.1987  3 C 2.49
C: 0.0000 0.0000 0.1009  3 Lu 2.49, 3 Ho 2.51
C: 0.0000 0.0000 0.6009  3 Lu 2.49, 3 Ho 2.51
Se: 0.3333 0.6667 0.3463  3 Lu 2.88, 3 Ho 2.93
Se: 0.6667 0.3333 0.8463  3 Lu 2.88, 3 Ho 2.93

No. 8
The following is a DFT calculation (PBE-GGA) of a relaxed structure of HoLu3Sn2C2.

VASP energy	-6.18	eV per atom
space-group type	P3m1 (156)

Unit cell a=3.5496 b=3.5496 c=15.5250 alpha=90.00 beta=90.00 gamma=120.00
With the nearest neighbours (Å) after each atom.
Fractional coordinates of all 8 atoms:
Ho: 0.0000 0.0000 0.0000  3 C 2.45
Lu: 0.0000 0.0000 0.3333  3 C 2.42
Lu: 0.3333 0.6667 0.4992  3 C 2.42
Lu: 0.3333 0.6667 0.8309  3 C 2.42
Sn: 0.0000 0.0000 0.6652  6 Lu 3.29, 6 Sn 3.55
Sn: 0.3333 0.6667 0.1684  3 Lu 3.28, 3 Ho 3.32, 6 Sn 3.55
C: 0.6667 0.3333 0.4163  6 Lu 2.42
C: 0.6667 0.3333 0.9135  3 Lu 2.42, 3 Ho 2.45